1.
! Ba3In2Pt4 (GGA-PBE, relaxed); values from VASP
&SYSTEM
  ibrav = 0, nat = 9, ntyp = 3
/
ATOMIC_SPECIES
Ba 137.33 Ba.upf
In 114.82 In.upf
Pt 195.08 Pt.upf
ATOMIC_POSITIONS crystal
Ba 0.624 0.247 0.706
Ba 0.000 0.000 0.000
Ba 0.376 0.753 0.294
In 0.679 0.357 0.345
In 0.321 0.643 0.655
Pt 0.720 0.440 0.071
Pt 0.280 0.560 0.929
Pt 0.909 0.819 0.564
Pt 0.091 0.181 0.436
CELL_PARAMETERS angstrom
4.605 0.000 0.000
-2.302 6.138 -0.238
0.000 -2.811 8.846
! Total energy = -4.622 eV per atom
! Space-group type = C2/m



2.
! PrEuMgPd (GGA-PBE, relaxed); values from VASP
&SYSTEM
  ibrav = 0, nat = 4, ntyp = 4
/
ATOMIC_SPECIES
Eu 151.96 Eu.upf
Pr 140.91 Pr.upf
Mg 24.30 Mg.upf
Pd 106.42 Pd.upf
ATOMIC_POSITIONS crystal
Eu 0.500 0.500 0.500
Pr 0.000 0.000 0.000
Mg 0.250 0.250 0.250
Pd 0.750 0.750 0.750
CELL_PARAMETERS angstrom
-1.488 -4.884 -1.549
3.078 -4.210 1.128
-1.596 -3.578 3.623
! Total energy = -5.770 eV per atom
! Space-group type = F-43m



3.
! DyHo2In (GGA-PBE, relaxed); values from VASP
&SYSTEM
  ibrav = 0, nat = 4, ntyp = 3
/
ATOMIC_SPECIES
Dy 162.50 Dy.upf
Ho 164.93 Ho.upf
In 114.82 In.upf
ATOMIC_POSITIONS crystal
Dy 0.500 0.500 0.500
Ho 0.079 0.079 0.763
Ho 0.255 0.255 0.236
In 0.666 0.666 0.001
CELL_PARAMETERS angstrom
3.563 0.000 0.000
1.781 3.085 0.000
1.781 1.028 10.867
! Relative energy among the computed polymorphs = 122 meV per atom
! Space-group type = R3m



4.
! BaSi3O (GGA-PBE, relaxed); values from VASP
&SYSTEM
  ibrav = 0, nat = 5, ntyp = 3
/
ATOMIC_SPECIES
Si 28.09 Si.upf
Ba 137.33 Ba.upf
O 16.00 O.upf
ATOMIC_POSITIONS crystal
Si 0.000 0.500 0.000
Si 0.000 0.000 0.500
Si 0.500 0.000 0.000
Ba 0.500 0.500 0.500
O 0.000 0.000 0.000
CELL_PARAMETERS angstrom
-0.815 3.853 2.364
-1.193 -2.500 3.664
4.360 0.036 1.445
! Relative energy among the computed polymorphs = 0 meV per atom
! Space-group type = Pm-3m
! Formation energy (no corrections) = 0.102 eV per atom



Looking at size of the total moment for the records above, in order, we have 0.00; 1.76; 0.09; 0.00 μB per atom.